A relaxed CsIrPdCl6 crystal. Source: Alexandria, functional PBE.

Properties
Its magnetization is 2.0 μB/f.u. The calculation puts the formation energy from raw total energies at -778 meV per atom. As for the space group: No. 149.

abc: 6.473 6.473 7.829
angles: 90.00 90.00 60.00
Last column: magnetic moment on the atom in μB.
Sites, in units of the cell vectors:
Cs1 0.000 0.000 0.000  0.00
Ir1 0.333 0.333 0.500  0.09
Pd1 0.667 0.667 0.500  1.12
Cl1 0.024 0.351 0.330  0.10
Cl2 0.351 0.024 0.670  0.10
Cl3 0.626 0.351 0.670  0.10
Cl4 0.024 0.626 0.670  0.10
Cl5 0.351 0.626 0.330  0.10
Cl6 0.626 0.024 0.330  0.10